Entry from Alexandria via LeMat-Bulk: a relaxed CaSiIr2 crystal (GGA-PBE).

## Properties
* calculated volume: 18.33 Å³ per atom
* energy relative to the elements, uncorrected: -0.31 eV/atom

CIF file:
```
data_CaSiIr2
_cell_length_a 5.2633
_cell_length_b 5.2633
_cell_length_c 5.4413
_cell_angle_alpha 114.32
_cell_angle_beta 114.32
_cell_angle_gamma 32.59
_symmetry_space_group_name_H-M 'P 1'
_symmetry_Int_Tables_number 1
loop_
_symmetry_equiv_pos_as_xyz
'x,y,z'
loop_
_atom_site_label
_atom_site_fract_x
_atom_site_fract_y
_atom_site_fract_z
_atom_site_occupancy
Ca1 0.0000 0.0000 0.0000 1
Si1 0.1991 0.1991 0.7078 1
Ir1 0.4893 0.4893 0.4674 1
Ir2 0.7646 0.7646 0.4279 1
```

Entry from Alexandria via LeMat-Bulk: a relaxed CaSiIr2 crystal (GGA-PBE).

## Properties
* calculated volume: 16.69 Å³ per atom
* energy relative to the elements, uncorrected: 0.18 eV/atom

CIF file:
```
data_CaSiIr2
_cell_length_a 4.5531
_cell_length_b 4.5531
_cell_length_c 4.5531
_cell_angle_alpha 60.00
_cell_angle_beta 60.00
_cell_angle_gamma 60.00
_symmetry_space_group_name_H-M 'P 1'
_symmetry_Int_Tables_number 1
loop_
_symmetry_equiv_pos_as_xyz
'x,y,z'
loop_
_atom_site_label
_atom_site_fract_x
_atom_site_fract_y
_atom_site_fract_z
_atom_site_occupancy
Ca1 0.0000 0.0000 0.0000 1
Si1 0.7500 0.7500 0.7500 1
Ir1 0.2500 0.2500 0.2500 1
Ir2 0.5000 0.5000 0.5000 1
```

Entry from Alexandria via LeMat-Bulk: a relaxed Ca2Si3Ir2 crystal (GGA-PBE).

## Properties
* calculated volume: 18.79 Å³ per atom
* energy relative to the elements, uncorrected: -0.69 eV/atom

CIF file:
```
data_Ca2Si3Ir2
_cell_length_a 5.7432
_cell_length_b 5.7432
_cell_length_c 7.0261
_cell_angle_alpha 117.30
_cell_angle_beta 117.30
_cell_angle_gamma 40.58
_symmetry_space_group_name_H-M 'P 1'
_symmetry_Int_Tables_number 1
loop_
_symmetry_equiv_pos_as_xyz
'x,y,z'
loop_
_atom_site_label
_atom_site_fract_x
_atom_site_fract_y
_atom_site_fract_z
_atom_site_occupancy
Ca1 0.1421 0.1421 0.2618 1
Ca2 0.8579 0.8579 0.7382 1
Si1 0.3505 0.3505 0.0585 1
Si2 0.5000 0.5000 0.5000 1
Si3 0.6495 0.6495 0.9415 1
Ir1 0.1248 0.1248 0.7160 1
Ir2 0.8752 0.8752 0.2840 1
```